4
Lattice="4.8396 0.0003 0.0142 -1.5746 4.5763 0.0142 -0.0071 -0.0099 3.1810" Properties=species:S:1:pos:R:3 comment="YZn2Tc | the Alexandria database | PBE-GGA | relaxed" relative_energy_mev_per_atom=181.7 rho_g_cm3=7.5 e_tot_ev_per_atom=-4.754 space_group="Cmmm (65)" magmom_total_mub_per_cell=0.534 pbc="T T T"
Zn 1.6325 2.2883 0.0142
Zn 0.0000 0.0000 0.0000
Y -0.7908 2.2832 1.5976
Tc 2.4163 -0.0048 1.5976

***

9
Lattice="-1.8843 1.6507 3.6032 1.5963 -2.2789 4.5501 8.0951 4.7889 2.0434" Properties=species:S:1:pos:R:3 comment="Zr4Cd3In2 | the Alexandria database | PBE-GGA | relaxed" rho_g_cm3=7.8 e_tot_ev_per_atom=-4.846 space_group="C2/m (12)" magmom_total_mub_per_cell=0.002 pbc="T T T"
Zr 0.8258 0.3086 2.9633
Zr 6.9813 3.8522 7.2333
Zr 0.8382 3.1485 4.3413
Zr 6.9688 1.0123 5.8552
In 1.5961 0.5520 5.9271
In 6.2110 3.6088 4.2695
Cd 0.0000 0.0000 0.0000
Cd 3.5468 1.9151 3.6513
Cd 4.2603 2.2456 6.5453